Material: ReNiPt
Method: DFT, GGA-PBEsol
State: relaxed

Cell and atoms, written as extended XYZ:
```
3
Lattice="0.000 2.811 2.811 2.811 0.000 2.811 2.811 2.811 0.000" Properties=species:S:1:pos:R:3 pbc="T T T"
Re 0.000 0.000 0.000
Ni 4.216 4.216 4.216
Pt 2.811 2.811 2.811
```

Results
For the spin magnetization, the calculation gives 0.0 μB/cell. The space group is F-43m. The value obtained for the energy relative to the lowest polymorph listed for this composition is 0.5806 eV/atom. The theoretical density is 16.455 g cm⁻³. The value obtained for the energy relative to the elements is 0.481 eV per atom. The volume is 44.4 Å³/f.u.